(1)
A plane-wave DFT calculation with PBEsol was carried out for a geometry-optimized KAs structure.

Summary:
D(E_F), states/eV/f.u.: 0.62
Energy above the lowest structure with this stoichiometry, meV/atom: 74
Magnetization, μB per cell: 0.00
Space group: No. 74
Energy of formation, eV/atom: -0.365
Crystal system: orthorhombic

Cell: 6.419 6.419 6.419 Å, 144.24 130.84 62.26°
Sites, in units of the cell vectors:
K 0.359 0.109 0.250
K 0.641 0.891 0.750
As 0.071 0.321 0.750
As 0.929 0.679 0.250



(2)
A plane-wave DFT calculation with PBEsol was carried out for a geometry-optimized Sr2MgAg structure.

Summary:
D(E_F), states/eV/f.u.: 1.99
Magnetization, μB per cell: 0.00
Space group: No. 99
Energy of formation, eV/atom: -0.106
Crystal system: tetragonal

Cell: 3.802 3.802 8.859 Å, 90.00 90.00 90.00°
Sites, in units of the cell vectors:
Sr 0.000 0.000 0.000
Sr 0.500 0.500 0.371
Mg 0.500 0.500 0.739
Ag 0.000 0.000 0.607



(3)
A plane-wave DFT calculation with PBEsol was carried out for a geometry-optimized Sc2NiBr structure.

Summary:
D(E_F), states/eV/f.u.: 2.98
Energy above the lowest structure with this stoichiometry, meV/atom: 102
E_form (uncorrected), eV per atom: -0.30
Magnetization, μB per cell: 0.00
Space group: No. 119
Crystal system: tetragonal

Cell: 5.827 5.827 5.827 Å, 142.62 142.62 53.90°
Sites, in units of the cell vectors:
Sc 0.000 0.000 0.000
Sc 0.750 0.250 0.500
Ni 0.250 0.750 0.500
Br 0.500 0.500 0.000



(4)
A plane-wave DFT calculation with PBEsol was carried out for a geometry-optimized NaScAs2Pd structure.

Summary:
D(E_F), states/eV/f.u.: 4.19
Magnetization, μB per cell: 0.00
Space group: No. 123
Energy of formation, eV/atom: 0.064
Crystal system: tetragonal

Cell: 4.960 4.960 4.853 Å, 90.00 90.00 90.00°
Sites, in units of the cell vectors:
Na 0.000 0.000 0.000
Sc 0.500 0.500 0.000
As 0.000 0.500 0.500
As 0.500 0.000 0.500
Pd 0.500 0.500 0.500



(5)
A plane-wave DFT calculation with PBEsol was carried out for a geometry-optimized KSb structure.

Summary:
D(E_F), states/eV/f.u.: 0.31
Energy above the lowest structure with this stoichiometry, meV/atom: 69
E_form (uncorrected), eV per atom: -0.35
Magnetization, μB per cell: 0.00
Space group: No. 51
Crystal system: orthorhombic

Cell: 4.722 5.351 5.031 Å, 90.00 90.00 90.00°
Sites, in units of the cell vectors:
K 0.250 0.000 0.233
K 0.750 0.000 0.767
Sb 0.250 0.500 0.688
Sb 0.750 0.500 0.312



(6)
A plane-wave DFT calculation with PBEsol was carried out for a geometry-optimized TaHPb2 structure.

Summary:
D(E_F), states/eV/f.u.: 4.58
E, eV/atom: -4.84
Magnetization, μB per cell: 0.01
Space group: No. 225
Crystal system: cubic

Cell: 4.851 4.851 4.851 Å, 60.00 60.00 60.00°
Sites, in units of the cell vectors:
Ta 0.000 0.000 0.000
H 0.500 0.500 0.500
Pb 0.250 0.250 0.250
Pb 0.750 0.750 0.750



(7)
A plane-wave DFT calculation with PBEsol was carried out for a geometry-optimized LaTcBr2 structure.

Summary:
D(E_F), states/eV/f.u.: 2.37
Energy above the lowest structure with this stoichiometry, meV/atom: 480
E_form (uncorrected), eV per atom: 0.03
Magnetization, μB per cell: 3.74
Space group: No. 166
Crystal system: trigonal

Cell: 8.987 8.987 8.987 Å, 22.55 22.55 22.55°
Sites, in units of the cell vectors:
La 0.000 0.000 0.000
Tc 0.500 0.500 0.500
Br 0.244 0.244 0.244
Br 0.756 0.756 0.756



(8)
A plane-wave DFT calculation with PBEsol was carried out for a geometry-optimized SrWAu structure.

Summary:
D(E_F), states/eV/f.u.: 3.94
Energy above the lowest structure with this stoichiometry, meV/atom: 250
Magnetization, μB per cell: 0.00
Space group: No. 156
Energy of formation, eV/atom: 0.904
Crystal system: trigonal

Cell: 3.009 3.009 7.684 Å, 90.00 90.00 120.00°
Sites, in units of the cell vectors:
Sr 0.000 0.000 0.000
W 0.333 0.667 0.645
Au 0.667 0.333 0.356



(9)
A plane-wave DFT calculation with PBEsol was carried out for a geometry-optimized Cr3W structure.

Summary:
D(E_F), states/eV/f.u.: 4.08
Magnetization, μB per cell: 0.00
Space group: No. 139
Energy of formation, eV/atom: 0.367
Crystal system: tetragonal

Cell: 4.922 4.922 4.922 Å, 139.11 139.11 59.21°
Sites, in units of the cell vectors:
Cr 0.000 0.000 0.000
Cr 0.250 0.750 0.500
Cr 0.750 0.250 0.500
W 0.500 0.500 0.000



(10)
A plane-wave DFT calculation with PBEsol was carried out for a geometry-optimized Ta4RuPb structure.

Summary:
D(E_F), states/eV/f.u.: 4.04
Magnetization, μB per cell: 0.00
Space group: No. 216
Energy of formation, eV/atom: 0.510
Crystal system: cubic

Cell: 5.386 5.386 5.386 Å, 60.00 60.00 60.00°
Sites, in units of the cell vectors:
Ta 0.125 0.125 0.125
Ta 0.125 0.125 0.626
Ta 0.125 0.626 0.125
Ta 0.626 0.125 0.125
Ru 0.500 0.500 0.500
Pb 0.750 0.750 0.750



(11)
A plane-wave DFT calculation with PBEsol was carried out for a geometry-optimized MoOsAu structure.

Summary:
D(E_F), states/eV/f.u.: 2.04
Magnetization, μB per cell: 0.00
Space group: No. 44
Energy of formation, eV/atom: 0.227
Crystal system: orthorhombic

Cell: 4.818 4.818 4.818 Å, 146.38 132.15 59.75°
Sites, in units of the cell vectors:
Mo 0.000 0.000 0.000
Os 0.653 0.653 0.000
Au 0.326 0.326 0.000



(12)
A plane-wave DFT calculation with PBEsol was carried out for a geometry-optimized ZrAs2Pb structure.

Summary:
D(E_F), states/eV/f.u.: 3.83
Magnetization, μB per cell: 0.00
Space group: No. 216
Energy of formation, eV/atom: 0.173
Crystal system: cubic

Cell: 4.941 4.941 4.941 Å, 60.00 60.00 60.00°
Sites, in units of the cell vectors:
Zr 0.000 0.000 0.000
As 0.500 0.500 0.500
As 0.750 0.750 0.750
Pb 0.250 0.250 0.250



(13)
A plane-wave DFT calculation with PBEsol was carried out for a geometry-optimized MgScHg2 structure.

Summary:
D(E_F), states/eV/f.u.: 1.79
Magnetization, μB per cell: 0.00
Space group: No. 123
Energy of formation, eV/atom: -0.460
Crystal system: tetragonal

Cell: 4.871 4.871 3.447 Å, 90.00 90.00 90.00°
Sites, in units of the cell vectors:
Mg 0.000 0.000 0.000
Sc 0.500 0.500 0.000
Hg 0.000 0.500 0.500
Hg 0.500 0.000 0.500



(14)
A plane-wave DFT calculation with PBEsol was carried out for a geometry-optimized SmOF structure.

Summary:
D(E_F), states/eV/f.u.: 0.00
E_form (uncorrected), eV per atom: -3.87
Magnetization, μB per cell: 0.00
Space group: No. 166
Crystal system: trigonal

Cell: 6.806 6.806 6.806 Å, 33.06 33.06 33.06°
Sites, in units of the cell vectors:
Sm 0.242 0.242 0.242
Sm 0.758 0.758 0.758
O 0.122 0.122 0.122
O 0.878 0.878 0.878
F 0.370 0.370 0.370
F 0.630 0.630 0.630



(15)
A plane-wave DFT calculation with PBEsol was carried out for a geometry-optimized AlPSeBr2 structure.

Summary:
D(E_F), states/eV/f.u.: 0.84
Energy above the lowest structure with this stoichiometry, meV/atom: 0
E_form (uncorrected), eV per atom: 0.13
Magnetization, μB per cell: 0.00
Space group: No. 123
Crystal system: tetragonal

Cell: 5.119 5.119 4.797 Å, 90.00 90.00 90.00°
Sites, in units of the cell vectors:
Al 0.000 0.000 0.000
P 0.500 0.500 0.500
Se 0.500 0.500 0.000
Br 0.000 0.500 0.500
Br 0.500 0.000 0.500



(16)
A plane-wave DFT calculation with PBEsol was carried out for a geometry-optimized CoSeCl structure.

Summary:
E_form (uncorrected), eV per atom: -0.49
Magnetization, μB per cell: 0.00
Space group: No. 156
Crystal system: trigonal

Cell: 3.330 3.330 5.893 Å, 90.00 90.00 120.00°
Sites, in units of the cell vectors:
Co 0.000 0.000 0.000
Se 0.333 0.667 0.790
Cl 0.667 0.333 0.228



(17)
A plane-wave DFT calculation with PBEsol was carried out for a geometry-optimized KTa2IN structure.

Summary:
D(E_F), states/eV/f.u.: 4.86
E_form (uncorrected), eV per atom: 0.29
Magnetization, μB per cell: 0.79
Space group: No. 123
Crystal system: tetragonal

Cell: 4.166 4.166 6.914 Å, 90.00 90.00 90.00°
Sites, in units of the cell vectors:
K 0.000 0.000 0.000
Ta 0.000 0.500 0.500
Ta 0.500 0.000 0.500
I 0.500 0.500 0.000
N 0.500 0.500 0.500



(18)
A plane-wave DFT calculation with PBEsol was carried out for a geometry-optimized Ho2NiAs2 structure.

Summary:
D(E_F), states/eV/f.u.: 1.22
Magnetization, μB per cell: 0.00
Space group: No. 194
Energy of formation, eV/atom: -1.274
Crystal system: hexagonal

Cell: 4.035 4.035 13.946 Å, 90.00 90.00 120.00°
Sites, in units of the cell vectors:
Ho 0.333 0.667 0.117
Ho 0.333 0.667 0.383
Ho 0.667 0.333 0.617
Ho 0.667 0.333 0.883
Ni 0.000 0.000 0.250
Ni 0.000 0.000 0.750
As 0.000 0.000 0.000
As 0.000 0.000 0.500
As 0.333 0.667 0.750
As 0.667 0.333 0.250



(19)
A plane-wave DFT calculation with PBEsol was carried out for a geometry-optimized Tl4Te3Pb structure.

Summary:
D(E_F), states/eV/f.u.: 0.02
E_form (uncorrected), eV per atom: -0.29
Magnetization, μB per cell: 0.00
Space group: No. 140
Crystal system: tetragonal

Cell: 8.955 8.955 8.955 Å, 121.62 121.62 87.22°
Sites, in units of the cell vectors:
Tl 0.015 0.515 0.208
Tl 0.193 0.985 0.500
Tl 0.307 0.807 0.792
Tl 0.485 0.693 0.500
Tl 0.515 0.307 0.500
Tl 0.693 0.193 0.208
Tl 0.807 0.015 0.500
Tl 0.985 0.485 0.792
Te 0.162 0.338 0.500
Te 0.250 0.250 0.000
Te 0.338 0.838 0.177
Te 0.662 0.162 0.823
Te 0.750 0.750 0.000
Te 0.838 0.662 0.500
Pb 0.000 0.000 0.000
Pb 0.500 0.500 0.000



(20)
A plane-wave DFT calculation with PBEsol was carried out for a geometry-optimized KCdAs2 structure.

Summary:
D(E_F), states/eV/f.u.: 1.49
Magnetization, μB per cell: 0.00
Space group: No. 123
Energy of formation, eV/atom: 0.050
Crystal system: tetragonal

Cell: 3.183 3.183 8.931 Å, 90.00 90.00 90.00°
Sites, in units of the cell vectors:
K 0.000 0.000 0.000
Cd 0.000 0.000 0.500
As 0.500 0.500 0.283
As 0.500 0.500 0.717



Number 1: V 28.92 Å³ per atom. Number 2: V 32.02 Å³ per atom. Number 3: V 18.11 Å³ per atom. Number 4: V 23.87 Å³ per atom. Number 5: V 31.78 Å³ per atom. Number 6: V 20.18 Å³ per atom. Number 7: V 23.41 Å³ per atom. Number 8: V 20.09 Å³ per atom. Number 9: V 12.65 Å³ per atom. Number 10: V 18.42 Å³ per atom. Number 11: V 15.17 Å³ per atom. Number 12: V 21.32 Å³ per atom. Number 13: V 20.45 Å³ per atom. Number 14: V 13.92 Å³ per atom. Number 15: V 25.15 Å³ per atom. Number 16: V 18.87 Å³ per atom. Number 17: V 23.99 Å³ per atom. Number 18: V 19.67 Å³ per atom. Number 19: V 30.92 Å³ per atom. Number 20: V 22.62 Å³ per atom.